1.
This record from OQMD via LeMat-Bulk describes MgTaZnCo after structural relaxation. The functional is PBE.

Structure (POSCAR):
```
MgTaZnCo
1.0
0.278 3.522 3.981
-2.957 4.424 -0.149
-4.106 0.571 3.339
Co Mg Ta Zn
1 1 1 1
Cartesian
0.000 0.000 0.000
-5.088 6.387 5.379
-3.392 4.258 3.586
-1.696 2.129 1.793
```

Results
Total DFT energy (no corrections) in eV/atom: -3.809
Energy above the most stable polymorph in this dataset in kJ per mole of atoms: 158.5
Magnetic moment in μB per cell: 0.27
Mass density in g/cm3: 5.13

2.
This record from OQMD via LeMat-Bulk describes MgTaZnCo after structural relaxation. The functional is PBE.

Structure (POSCAR):
```
MgTaZnCo
1.0
3.524 -2.459 -0.768
-0.382 -4.341 -0.262
0.466 -2.004 -3.850
Co Mg Ta Zn
1 1 1 1
Cartesian
1.804 -4.402 -2.440
2.706 -6.603 -3.661
0.902 -2.201 -1.220
0.000 0.000 0.000
```

Results
Total DFT energy (no corrections) in eV/atom: -5.451
Energy above the most stable polymorph in this dataset in kJ per mole of atoms: 0.0
Magnetic moment in μB per cell: 0.00
Mass density in g/cm3: 9.30

3.
This record from OQMD via LeMat-Bulk describes MgCoTc after structural relaxation. The functional is PBE.

Structure (POSCAR):
```
MgCoTc
1.0
0.000 2.890 2.890
2.890 0.000 2.890
2.890 2.890 0.000
Co Mg Tc
1 1 1
Cartesian
4.334 4.334 4.334
1.445 1.445 1.445
2.890 2.890 2.890
```

Results
Total DFT energy (no corrections) in eV/atom: -5.561
Magnetic moment in μB per cell: 0.01
Mass density in g/cm3: 6.24

4.
This record from OQMD via LeMat-Bulk describes MgCo2Te3 after structural relaxation. The functional is PBE.

Structure (POSCAR):
```
MgCo2Te3
1.0
-0.830 2.365 -6.193
-3.125 -0.599 -5.875
-7.588 6.239 3.399
Co Mg Te
4 2 6
Cartesian
0.000 0.000 0.000
-3.551 2.298 -4.198
-3.794 3.120 1.699
-7.991 5.707 -4.472
-4.916 2.908 -8.366
-6.625 5.097 -0.303
-1.608 0.779 -4.339
-2.100 1.650 0.231
-5.077 3.632 -2.785
-6.464 4.373 -5.885
-9.442 6.355 -8.901
-9.934 7.226 -4.330
```

Results
Total DFT energy (no corrections) in eV/atom: -4.313
Magnetic moment in μB per cell: 1.88
Mass density in g/cm3: 6.95

5.
This record from OQMD via LeMat-Bulk describes MgZnCoTe3 after structural relaxation. The functional is PBE.

Structure (POSCAR):
```
MgZnCoTe3
1.0
6.590 -1.970 0.000
6.590 1.970 0.000
0.000 0.000 10.806
Co Mg Te Zn
2 2 6 2
Cartesian
6.204 0.000 2.701
6.976 0.000 8.104
10.424 0.000 2.701
2.757 0.000 8.104
4.676 0.000 0.706
1.148 0.000 2.701
4.676 0.000 4.697
8.505 0.000 6.109
12.033 0.000 8.104
8.505 0.000 10.099
0.000 0.000 0.000
0.000 0.000 5.403
```

Results
Total DFT energy (no corrections) in eV/atom: -3.331
Energy above the most stable polymorph in this dataset in kJ per mole of atoms: 0.0
Magnetic moment in μB per cell: 0.06
Mass density in g/cm3: 6.29

6.
This record from OQMD via LeMat-Bulk describes MgZnCoTe3 after structural relaxation. The functional is PBE.

Structure (POSCAR):
```
MgZnCoTe3
1.0
-3.540 -6.059 -1.434
-0.462 -7.097 0.845
-5.687 1.359 8.301
Co Mg Te Zn
2 2 6 2
Cartesian
0.000 0.000 0.000
-2.843 0.679 4.151
-4.523 -9.855 1.619
-5.166 -1.942 6.093
-1.707 -4.739 0.146
-1.824 -0.983 2.016
-4.056 -4.178 3.575
-5.633 -7.619 4.138
-7.865 -10.814 5.696
-7.982 -7.058 7.566
-3.327 -5.921 1.795
-6.363 -5.876 5.917
```

Results
Total DFT energy (no corrections) in eV/atom: -3.320
Energy above the most stable polymorph in this dataset in kJ per mole of atoms: 1.0
Magnetic moment in μB per cell: 0.01
Mass density in g/cm3: 6.37